# Y3Sc2 | Alexandria | SCAN | single point on PBEsol structure
# energy relative to the elements: 0.095 eV per atom
# space-group type: R-3m, No. 166
data_Y3Sc2
_chemical_formula_sum 'Y3 Sc2'
_cell_length_a 3.403
_cell_length_b 3.403
_cell_length_c 13.851
_cell_angle_alpha 82.94
_cell_angle_beta 82.94
_cell_angle_gamma 60.00
_symmetry_space_group_name_H-M 'P 1'
_symmetry_Int_Tables_number 1
loop_
_symmetry_equiv_pos_as_xyz
'x,y,z'
loop_
_atom_site_label
_atom_site_type_symbol
_atom_site_fract_x
_atom_site_fract_y
_atom_site_fract_z
_atom_site_occupancy
Sc1 Sc 0.601 0.601 0.197 1
Sc2 Sc 0.399 0.399 0.803 1
Y1 Y 0.000 0.000 0.000 1
Y2 Y 0.798 0.798 0.607 1
Y3 Y 0.202 0.202 0.393 1

=====

# Cd2HgPb | Alexandria | SCAN | single point on PBEsol structure
# energy relative to the elements: 0.050 eV per atom
# space-group type: Cmm2, No. 35
# ΔE to the lowest computed polymorph: 0.43 kJ/mol of atoms
data_Cd2HgPb
_chemical_formula_sum 'Cd2 Hg1 Pb1'
_cell_length_a 3.244
_cell_length_b 3.244
_cell_length_c 8.948
_cell_angle_alpha 90.00
_cell_angle_beta 90.00
_cell_angle_gamma 89.89
_symmetry_space_group_name_H-M 'P 1'
_symmetry_Int_Tables_number 1
loop_
_symmetry_equiv_pos_as_xyz
'x,y,z'
loop_
_atom_site_label
_atom_site_type_symbol
_atom_site_fract_x
_atom_site_fract_y
_atom_site_fract_z
_atom_site_occupancy
Cd1 Cd 0.000 0.000 0.976 1
Cd2 Cd 0.500 0.500 0.752 1
Pb1 Pb 0.500 0.500 0.248 1
Hg1 Hg 0.000 0.000 0.524 1

=====

# ReS2O | Alexandria | SCAN | single point on PBEsol structure
# E_form (uncorrected): 0.09 eV per atom
# space-group type: R-3m, No. 166
data_ReS2O
_chemical_formula_sum 'Re1 S2 O1'
_cell_length_a 3.247
_cell_length_b 3.247
_cell_length_c 6.816
_cell_angle_alpha 76.22
_cell_angle_beta 76.22
_cell_angle_gamma 60.00
_symmetry_space_group_name_H-M 'P 1'
_symmetry_Int_Tables_number 1
loop_
_symmetry_equiv_pos_as_xyz
'x,y,z'
loop_
_atom_site_label
_atom_site_type_symbol
_atom_site_fract_x
_atom_site_fract_y
_atom_site_fract_z
_atom_site_occupancy
S1 S 0.909 0.909 0.274 1
S2 S 0.091 0.091 0.726 1
O1 O 0.000 0.000 0.000 1
Re1 Re 0.500 0.500 0.500 1

=====

# Lu2MgHg | Alexandria | SCAN | single point on PBEsol structure
# energy relative to the elements: -0.371 eV per atom
# space-group type: Fm-3m, No. 225
data_Lu2MgHg
_chemical_formula_sum 'Lu2 Mg1 Hg1'
_cell_length_a 5.110
_cell_length_b 5.110
_cell_length_c 5.110
_cell_angle_alpha 60.00
_cell_angle_beta 60.00
_cell_angle_gamma 60.00
_symmetry_space_group_name_H-M 'P 1'
_symmetry_Int_Tables_number 1
loop_
_symmetry_equiv_pos_as_xyz
'x,y,z'
loop_
_atom_site_label
_atom_site_type_symbol
_atom_site_fract_x
_atom_site_fract_y
_atom_site_fract_z
_atom_site_occupancy
Lu1 Lu 0.750 0.750 0.750 1
Lu2 Lu 0.250 0.250 0.250 1
Mg1 Mg 0.500 0.500 0.500 1
Hg1 Hg 0.000 0.000 0.000 1

=====

# BaLi2Os | Alexandria | SCAN | single point on PBEsol structure
# energy relative to the elements: 0.715 eV per atom
# space-group type: Imm2, No. 44
data_BaLi2Os
_chemical_formula_sum 'Ba1 Li2 Os1'
_cell_length_a 3.432
_cell_length_b 5.037
_cell_length_c 5.470
_cell_angle_alpha 117.41
_cell_angle_beta 108.28
_cell_angle_gamma 90.00
_symmetry_space_group_name_H-M 'P 1'
_symmetry_Int_Tables_number 1
loop_
_symmetry_equiv_pos_as_xyz
'x,y,z'
loop_
_atom_site_label
_atom_site_type_symbol
_atom_site_fract_x
_atom_site_fract_y
_atom_site_fract_z
_atom_site_occupancy
Os1 Os 0.528 0.528 0.056 1
Li1 Li 0.981 0.981 0.961 1
Li2 Li 0.234 0.734 0.468 1
Ba1 Ba 0.757 0.257 0.515 1

=====

# AlCdTe2 | Alexandria | SCAN | single point on PBEsol structure
# E_form (uncorrected): -0.12 eV per atom
# space-group type: R-3m, No. 166
# ΔE to the lowest computed polymorph: 0.00 kJ/mol of atoms
data_AlCdTe2
_chemical_formula_sum 'Al1 Cd1 Te2'
_cell_length_a 4.002
_cell_length_b 4.002
_cell_length_c 8.965
_cell_angle_alpha 77.10
_cell_angle_beta 77.10
_cell_angle_gamma 60.00
_symmetry_space_group_name_H-M 'P 1'
_symmetry_Int_Tables_number 1
loop_
_symmetry_equiv_pos_as_xyz
'x,y,z'
loop_
_atom_site_label
_atom_site_type_symbol
_atom_site_fract_x
_atom_site_fract_y
_atom_site_fract_z
_atom_site_occupancy
Te1 Te 0.108 0.108 0.676 1
Te2 Te 0.892 0.892 0.324 1
Al1 Al 0.500 0.500 0.500 1
Cd1 Cd 0.000 0.000 0.000 1

=====

# Ba2CoNi | Alexandria | SCAN | single point on PBEsol structure
# energy relative to the elements: 0.501 eV per atom
# space-group type: P4/mmm, No. 123
data_Ba2CoNi
_chemical_formula_sum 'Ba2 Co1 Ni1'
_cell_length_a 3.733
_cell_length_b 5.227
_cell_length_c 5.228
_cell_angle_alpha 90.00
_cell_angle_beta 90.00
_cell_angle_gamma 90.00
_symmetry_space_group_name_H-M 'P 1'
_symmetry_Int_Tables_number 1
loop_
_symmetry_equiv_pos_as_xyz
'x,y,z'
loop_
_atom_site_label
_atom_site_type_symbol
_atom_site_fract_x
_atom_site_fract_y
_atom_site_fract_z
_atom_site_occupancy
Ni1 Ni 0.500 0.000 0.500 1
Co1 Co 0.500 0.500 0.000 1
Ba1 Ba 0.000 0.500 0.500 1
Ba2 Ba 0.000 0.000 0.000 1

=====

# NbMoOs2Pt | Alexandria | SCAN | single point on PBEsol structure
# energy relative to the elements: 1.773 eV per atom
# space-group type: P4/mmm, No. 123
data_NbMoOs2Pt
_chemical_formula_sum 'Nb1 Mo1 Os2 Pt1'
_cell_length_a 4.560
_cell_length_b 4.560
_cell_length_c 4.711
_cell_angle_alpha 90.00
_cell_angle_beta 90.00
_cell_angle_gamma 90.00
_symmetry_space_group_name_H-M 'P 1'
_symmetry_Int_Tables_number 1
loop_
_symmetry_equiv_pos_as_xyz
'x,y,z'
loop_
_atom_site_label
_atom_site_type_symbol
_atom_site_fract_x
_atom_site_fract_y
_atom_site_fract_z
_atom_site_occupancy
Os1 Os 0.500 0.000 0.000 1
Os2 Os 0.000 0.500 0.000 1
Mo1 Mo 0.000 0.000 0.000 1
Pt1 Pt 0.000 0.000 0.500 1
Nb1 Nb 0.500 0.500 0.500 1

=====

| no. | V (Å³/atom) |
| --- | --- |
| 1 | 27.51 |
| 2 | 23.54 |
| 3 | 14.96 |
| 4 | 23.59 |
| 5 | 19.63 |
| 6 | 30.04 |
| 7 | 25.50 |
| 8 | 19.59 |